# 1
Computed, not measured: Ba3TlBr after structural relaxation at the PBE-GGA level of DFT.

a b c (Å): 4.834 9.879 9.939
angles (deg): 75.19 90.00 89.99
Atoms (fractional coordinates):
Ba 0.683 0.038 0.824
Ba 0.183 0.822 0.583
Ba 0.683 0.745 0.228
Ba 0.683 0.502 0.935
Ba 0.183 0.115 0.179
Ba 0.183 0.359 0.471
Tl 0.184 0.763 0.965
Tl 0.683 0.098 0.441
Br 0.183 0.293 0.832
Br 0.683 0.568 0.574

formation energy without anion corrections = -0.82 eV/atom
D(E_F) = 7.13 states/eV per cell
offset from the most stable computed form = 0.000 eV per atom

# 2
Computed, not measured: SbTe2O8 after structural relaxation at the PBE-GGA level of DFT.

a b c (Å): 5.232 9.510 6.572
angles (deg): 136.35 94.19 90.00
Atoms (fractional coordinates):
Sb 0.000 0.000 0.000
Te 0.638 0.239 0.477
Te 0.362 0.761 0.523
O 0.209 0.744 0.764
O 0.791 0.980 0.236
O 0.276 0.179 0.358
O 0.724 0.821 0.642
O 0.209 0.020 0.764
O 0.791 0.256 0.236
O 0.756 0.433 0.866
O 0.244 0.567 0.134

formation energy without anion corrections = -0.67 eV/atom
D(E_F) = 2.03 states/eV per cell
offset from the most stable computed form = 0.000 eV per atom

Please write out number 1 again, unchanged.
Computed, not measured: Ba3TlBr after structural relaxation at the PBE-GGA level of DFT.

a b c (Å): 4.834 9.879 9.939
angles (deg): 75.19 90.00 89.99
Atoms (fractional coordinates):
Ba 0.683 0.038 0.824
Ba 0.183 0.822 0.583
Ba 0.683 0.745 0.228
Ba 0.683 0.502 0.935
Ba 0.183 0.115 0.179
Ba 0.183 0.359 0.471
Tl 0.184 0.763 0.965
Tl 0.683 0.098 0.441
Br 0.183 0.293 0.832
Br 0.683 0.568 0.574

formation energy without anion corrections = -0.82 eV/atom
D(E_F) = 7.13 states/eV per cell
offset from the most stable computed form = 0.000 eV per atom